No. 1
DFT (meta-GGA SCAN) results for a PBEsol-optimized structure of MgCr2Ag.

Output
spin magnetization	0.00	μB per cell
formation energy	0.55	eV/atom

Cell lengths 3.5258, 3.5258, 4.4586 Å; angles 90.00, 90.00, 90.00 degrees
Last column: nearest neighbours and their distance in Å.
Space group P4/mmm (No. 123)
Unique sites:
Mg 0.0000 0.0000 0.0000 (multiplicity 1)  4 Ag 2.49
Cr 0.0000 0.5000 0.5000 (multiplicity 2)  4 Cr 2.49
Ag 0.5000 0.5000 0.0000 (multiplicity 1)  4 Mg 2.49

=====

No. 2
DFT (meta-GGA SCAN) results for a PBEsol-optimized structure of Sc3Cu.

Output
spin magnetization	0.01	μB per cell
energy above the most stable polymorph in this dataset	0.298	eV per atom
formation energy	0.12	eV/atom

Cell lengths 6.7852, 6.7852, 6.7852 Å; angles 90.00, 90.00, 90.00 degrees
Last column: nearest neighbours and their distance in Å.
Space group Fm-3m (No. 225)
Unique sites:
Sc 0.0000 0.0000 0.0000 (multiplicity 4)  8 Sc 2.94
Sc 0.2500 0.2500 0.2500 (multiplicity 8)  4 Sc 2.94, 4 Cu 2.94
Cu 0.0000 0.0000 0.5000 (multiplicity 4)  8 Sc 2.94

=====

No. 3
DFT (meta-GGA SCAN) results for a PBEsol-optimized structure of ErSi2Au2.

Output
spin magnetization	0.00	μB per cell
formation energy (no corrections)	-0.6546	eV/atom

Cell lengths 4.1942, 4.1942, 10.1025 Å; angles 90.00, 90.00, 90.00 degrees
Last column: nearest neighbours and their distance in Å.
Space group I4/mmm (No. 139)
Unique sites:
Er 0.0000 0.0000 0.0000 (multiplicity 2)  8 Si 3.18, 8 Au 3.28
Si 0.0000 0.0000 0.3877 (multiplicity 4)  1 Si 2.27, 4 Au 2.52
Au 0.0000 0.5000 0.2500 (multiplicity 4)  4 Si 2.52

=====

No. 4
DFT (meta-GGA SCAN) results for a PBEsol-optimized structure of MgP.

Output
spin magnetization	0.00	μB per cell
energy above the most stable polymorph in this dataset	0.000	eV per atom
formation energy	-0.47	eV/atom

Cell lengths 4.3306, 4.3306, 16.2862 Å; angles 90.00, 90.00, 120.00 degrees
Last column: nearest neighbours and their distance in Å.
Space group R-3m (No. 166, hexagonal axes)
Unique sites:
Mg 0.0000 0.0000 0.2363 (multiplicity 6)  4 P 2.54-2.72
P 0.0000 0.0000 0.0695 (multiplicity 6)  1 P 2.26

=====

No. 5
DFT (meta-GGA SCAN) results for a PBEsol-optimized structure of Be2SiSb.

Output
spin magnetization	0.00	μB per cell
energy above the most stable polymorph in this dataset	0.344	eV per atom
formation energy (no corrections)	0.8844	eV/atom

Cell lengths 6.2664, 6.2664, 6.2664 Å; angles 90.00, 90.00, 90.00 degrees
Last column: nearest neighbours and their distance in Å.
Space group F-43m (No. 216)
Unique sites:
Be 0.0000 0.0000 0.0000 (multiplicity 4)  4 Be 2.71, 4 Sb 2.71
Be 0.2500 0.2500 0.2500 (multiplicity 4)  4 Be 2.71, 4 Si 2.71
Si 0.0000 0.0000 0.5000 (multiplicity 4)  4 Sb 2.71, 4 Be 2.71
Sb 0.2500 0.2500 0.7500 (multiplicity 4)  4 Be 2.71, 4 Si 2.71

=====

No. 6
DFT (meta-GGA SCAN) results for a PBEsol-optimized structure of Li5Mg.

Output
spin magnetization	0.16	μB per cell
energy above the most stable polymorph in this dataset	0.000	eV per atom
formation energy	-0.02	eV/atom

Cell lengths 4.9527, 3.2076, 15.0164 Å; angles 90.00, 90.00, 90.00 degrees
Last column: nearest neighbours and their distance in Å.
Space group Amm2 (No. 38)
Unique sites:
Li 0.0000 0.0000 0.0000 (multiplicity 2)  10 Li 2.95-3.21, 2 Mg 3.22
Li 0.0000 0.0000 0.3291 (multiplicity 2)  12 Li 2.94-3.24
Li 0.0000 0.0000 0.6650 (multiplicity 2)  8 Li 2.94-3.24, 4 Mg 2.98
Li 0.5000 0.0000 0.4685 (multiplicity 2)  10 Li 2.95-3.24, 2 Mg 2.99
Li 0.5000 0.0000 0.8037 (multiplicity 2)  10 Li 2.95-3.24, 2 Mg 2.98
Mg 0.5000 0.0000 0.1366 (multiplicity 2)  10 Li 2.98-3.22, 2 Mg 3.21

=====

No. 7
DFT (meta-GGA SCAN) results for a PBEsol-optimized structure of MnAg3Ru.

Output
spin magnetization	7.13	μB per cell
formation energy	1.34	eV/atom

Cell lengths 4.8876, 4.8876, 4.8876 Å; angles 90.00, 90.00, 90.00 degrees
Last column: nearest neighbours and their distance in Å.
Space group Pm-3m (No. 221)
Unique sites:
Mn 0.0000 0.0000 0.0000 (multiplicity 1)  12 Ag 3.46
Ag 0.0000 0.5000 0.5000 (multiplicity 3)  2 Ru 2.44
Ru 0.5000 0.5000 0.5000 (multiplicity 1)  6 Ag 2.44

=====

No. 8
DFT (meta-GGA SCAN) results for a PBEsol-optimized structure of KReTcBr2.

Output
spin magnetization	0.65	μB per cell
formation energy (no corrections)	1.9294	eV/atom

Cell lengths 5.5290, 5.5290, 5.9193 Å; angles 90.00, 90.00, 90.00 degrees
Last column: nearest neighbours and their distance in Å.
Space group P4/mmm (No. 123)
Unique sites:
K 0.0000 0.0000 0.0000 (multiplicity 1)  4 Br 2.76, 2 Re 2.96
Re 0.0000 0.0000 0.5000 (multiplicity 1)  2 K 2.96
Tc 0.5000 0.5000 0.5000 (multiplicity 1)  4 Re 3.91, 8 Br 4.05
Br 0.0000 0.5000 0.0000 (multiplicity 2)  2 K 2.76

=====

No. 9
DFT (meta-GGA SCAN) results for a PBEsol-optimized structure of ZnGeOsSe2.

Output
spin magnetization	0.00	μB per cell
formation energy (no corrections)	0.7047	eV/atom

Cell lengths 4.8905, 4.8905, 4.7404 Å; angles 90.00, 90.00, 90.00 degrees
Last column: nearest neighbours and their distance in Å.
Space group P4/mmm (No. 123)
Unique sites:
Zn 0.0000 0.0000 0.0000 (multiplicity 1)  8 Se 3.41, 4 Ge 3.46
Ge 0.5000 0.5000 0.0000 (multiplicity 1)  2 Os 2.37
Os 0.5000 0.5000 0.5000 (multiplicity 1)  2 Ge 2.37, 4 Se 2.45
Se 0.0000 0.5000 0.5000 (multiplicity 2)  2 Os 2.45

=====

No. 10
DFT (meta-GGA SCAN) results for a PBEsol-optimized structure of ScHgSb.

Output
spin magnetization	0.00	μB per cell
formation energy (no corrections)	-0.4255	eV/atom

Cell lengths 3.9180, 3.9180, 9.0398 Å; angles 90.00, 90.00, 90.00 degrees
Last column: nearest neighbours and their distance in Å.
Space group I4mm (No. 107)
Unique sites:
Sc 0.0000 0.0000 0.0000 (multiplicity 2)  5 Hg 2.89-3.21, 4 Sb 3.05
Hg 0.0000 0.0000 0.6803 (multiplicity 2)  5 Sc 2.89-3.21, 5 Sb 2.90-3.21
Sb 0.0000 0.0000 0.3599 (multiplicity 2)  5 Hg 2.90-3.21, 4 Sc 3.05

=====

No. 11
DFT (meta-GGA SCAN) results for a PBEsol-optimized structure of PrSnAu.

Output
spin magnetization	0.00	μB per cell
formation energy	-0.99	eV/atom

Cell lengths 4.6757, 4.6757, 7.8607 Å; angles 90.00, 90.00, 120.00 degrees
Last column: nearest neighbours and their distance in Å.
Space group P6_3/mmc (No. 194)
Unique sites:
Pr 0.0000 0.0000 0.0000 (multiplicity 2)  6 Sn 3.34, 6 Au 3.34
Sn 0.3333 0.6667 0.2500 (multiplicity 2)  3 Au 2.70
Au 0.3333 0.6667 0.7500 (multiplicity 2)  3 Sn 2.70

=====

No. 12
DFT (meta-GGA SCAN) results for a PBEsol-optimized structure of MoP2AuCl.

Output
spin magnetization	0.00	μB per cell
formation energy (no corrections)	0.5156	eV/atom

Cell lengths 4.6727, 4.6727, 4.5906 Å; angles 90.00, 90.00, 90.00 degrees
Last column: nearest neighbours and their distance in Å.
Space group P4/mmm (No. 123)
Unique sites:
Mo 0.0000 0.0000 0.0000 (multiplicity 1)  2 Cl 2.30, 4 P 2.34
P 0.0000 0.5000 0.0000 (multiplicity 2)  2 Mo 2.34
Au 0.5000 0.5000 0.5000 (multiplicity 1)  8 P 3.28, 4 Cl 3.30
Cl 0.0000 0.0000 0.5000 (multiplicity 1)  2 Mo 2.30